The following is a GGA-PBE calculation of a geometry-optimized Na2TaTiIn structure, from Alexandria via LeMat-Bulk. Values from VASP.

Quantum ESPRESSO input file:
```
&SYSTEM
  ibrav = 0, nat = 5, ntyp = 4
/
ATOMIC_SPECIES
Na 22.99 Na.upf
Ti 47.87 Ti.upf
In 114.82 In.upf
Ta 180.95 Ta.upf
ATOMIC_POSITIONS angstrom
Na -1.337 0.910 1.907
Na -2.045 0.014 -1.440
Ti 0.000 0.000 0.000
In -0.570 -2.484 0.785
Ta -3.952 -1.560 1.252
CELL_PARAMETERS angstrom
-4.089 0.028 -2.880
-1.140 -4.968 1.570
-2.675 1.820 3.815
```

ρ ... 4.85 g/cm³
Formation enthalpy at 0 K ... 1.74 eV/atom
Fermi-level density of states ... 5.971 states/eV per cell

---

The following is a GGA-PBE calculation of a geometry-optimized BeB2Rh2 structure, from Alexandria via LeMat-Bulk. Values from VASP.

Quantum ESPRESSO input file:
```
&SYSTEM
  ibrav = 0, nat = 10, ntyp = 3
/
ATOMIC_SPECIES
B 10.81 B.upf
Rh 102.91 Rh.upf
Be 9.01 Be.upf
ATOMIC_POSITIONS angstrom
B -2.839 5.463 1.879
B -1.220 0.867 1.922
B -1.087 3.476 -0.324
Rh -0.734 5.187 1.010
Be -2.030 3.165 1.901
Be 0.000 0.000 0.000
B -2.973 2.853 4.126
Rh -0.966 1.984 3.910
Rh 0.247 2.291 1.118
Rh -1.947 4.880 3.801
CELL_PARAMETERS angstrom
-1.323 5.627 -1.444
-2.736 0.703 5.246
2.359 0.841 1.118
```

ρ ... 8.07 g/cm³
Formation enthalpy at 0 K ... -0.27 eV/atom
Fermi-level density of states ... 4.114 states/eV per cell

---

The following is a GGA-PBE calculation of a geometry-optimized MgScTc structure, from Alexandria via LeMat-Bulk. Values from VASP.

Quantum ESPRESSO input file:
```
&SYSTEM
  ibrav = 0, nat = 3, ntyp = 3
/
ATOMIC_SPECIES
Sc 44.96 Sc.upf
Tc 98.00 Tc.upf
Mg 24.30 Mg.upf
ATOMIC_POSITIONS angstrom
Sc 6.799 3.926 2.776
Tc 0.000 0.000 0.000
Mg 4.533 2.617 1.851
CELL_PARAMETERS angstrom
4.533 0.000 0.000
2.266 3.926 0.000
2.266 1.309 3.701
```

ρ ... 4.22 g/cm³
Formation enthalpy at 0 K ... 0.97 eV/atom
Fermi-level density of states ... 6.747 states/eV per cell
Energy above the most stable polymorph in this dataset ... 89.9 kJ per mole of atoms

---

The following is a GGA-PBE calculation of a geometry-optimized ZnCo4Br structure, from Alexandria via LeMat-Bulk. Values from VASP.

Quantum ESPRESSO input file:
```
&SYSTEM
  ibrav = 0, nat = 6, ntyp = 3
/
ATOMIC_SPECIES
Br 79.90 Br.upf
Zn 65.41 Zn.upf
Co 58.93 Co.upf
ATOMIC_POSITIONS angstrom
Br 0.000 0.000 0.000
Zn 3.398 -7.639 -3.346
Co 1.701 -3.824 -1.675
Co 1.387 -5.587 -3.336
Co 2.334 -6.124 -1.149
Co 3.639 -4.836 -2.763
CELL_PARAMETERS angstrom
3.890 -2.031 -2.184
1.271 -4.615 1.055
-0.630 -3.539 -3.333
```

ρ ... 7.60 g/cm³
Formation energy without anion corrections ... 56 kJ/mol of atoms
Fermi-level density of states ... 7.020 states/eV per cell

---

The following is a GGA-PBE calculation of a geometry-optimized AlZn2HI structure, from Alexandria via LeMat-Bulk. Values from VASP.

Quantum ESPRESSO input file:
```
&SYSTEM
  ibrav = 0, nat = 5, ntyp = 4
/
ATOMIC_SPECIES
Zn 65.41 Zn.upf
H 1.01 H.upf
I 126.90 I.upf
Al 26.98 Al.upf
ATOMIC_POSITIONS angstrom
Zn 2.344 0.000 0.000
H 0.000 0.000 0.000
Zn 0.000 0.000 2.344
I 0.000 2.259 0.000
Al 2.344 2.259 2.344
CELL_PARAMETERS angstrom
4.688 0.000 0.000
0.000 4.518 0.000
0.000 0.000 4.688
```

ρ ... 4.78 g/cm³
Fermi-level density of states ... 1.510 states/eV per cell
E_tot ... -1.62 eV per atom

---

The following is a GGA-PBE calculation of a geometry-optimized SrEuAl2 structure, from Alexandria via LeMat-Bulk. Values from VASP.

Quantum ESPRESSO input file:
```
&SYSTEM
  ibrav = 0, nat = 4, ntyp = 3
/
ATOMIC_SPECIES
Al 26.98 Al.upf
Eu 151.96 Eu.upf
Sr 87.62 Sr.upf
ATOMIC_POSITIONS angstrom
Al 0.000 0.000 1.665
Al 0.000 0.000 5.891
Eu 1.956 1.956 0.000
Sr 1.956 1.956 3.778
CELL_PARAMETERS angstrom
3.911 0.000 0.000
0.000 3.911 0.000
0.000 0.000 7.556
```

ρ ... 4.22 g/cm³
Formation enthalpy at 0 K ... -0.15 eV/atom
Fermi-level density of states ... 7.870 states/eV per cell
Energy above the most stable polymorph in this dataset ... 0.0 kJ per mole of atoms

---

The following is a GGA-PBE calculation of a geometry-optimized ZrCo2Se structure, from Alexandria via LeMat-Bulk. Values from VASP.

Quantum ESPRESSO input file:
```
&SYSTEM
  ibrav = 0, nat = 4, ntyp = 3
/
ATOMIC_SPECIES
Co 58.93 Co.upf
Zr 91.22 Zr.upf
Se 78.96 Se.upf
ATOMIC_POSITIONS angstrom
Co -2.299 1.368 0.366
Zr -6.896 4.104 1.097
Co 0.000 0.000 0.000
Se -4.598 2.736 0.732
CELL_PARAMETERS angstrom
-3.539 1.695 -2.010
-3.909 -0.009 2.040
-1.747 3.786 1.434
```

ρ ... 7.89 g/cm³
Formation energy without anion corrections ... 3 kJ/mol of atoms
Fermi-level density of states ... 6.073 states/eV per cell

---

The following is a GGA-PBE calculation of a geometry-optimized LiV2Ga structure, from Alexandria via LeMat-Bulk. Values from VASP.

Quantum ESPRESSO input file:
```
&SYSTEM
  ibrav = 0, nat = 8, ntyp = 3
/
ATOMIC_SPECIES
Li 6.94 Li.upf
V 50.94 V.upf
Ga 69.72 Ga.upf
ATOMIC_POSITIONS angstrom
Li 3.459 6.918 1.186
Li 3.459 3.459 0.000
V 8.648 8.639 1.779
V 5.189 5.197 1.779
Ga 0.000 0.000 0.000
Ga 6.918 3.459 1.186
V 1.738 5.189 0.593
V 5.180 1.730 0.593
CELL_PARAMETERS angstrom
6.918 0.000 0.000
0.000 6.918 0.000
3.459 3.459 2.372
```

ρ ... 5.22 g/cm³
Formation enthalpy at 0 K ... 0.44 eV/atom
Fermi-level density of states ... 5.808 states/eV per cell

---

The following is a GGA-PBE calculation of a geometry-optimized TcP2Br2 structure, from Alexandria via LeMat-Bulk. Values from VASP.

Quantum ESPRESSO input file:
```
&SYSTEM
  ibrav = 0, nat = 5, ntyp = 3
/
ATOMIC_SPECIES
P 30.97 P.upf
Tc 98.00 Tc.upf
Br 79.90 Br.upf
ATOMIC_POSITIONS angstrom
P 2.680 0.000 1.975
P 0.000 2.680 1.975
Tc 0.000 0.000 0.000
Br 0.000 0.000 2.441
Br 0.000 0.000 5.460
CELL_PARAMETERS angstrom
-2.680 2.680 3.950
2.680 -2.680 3.950
2.680 2.680 -3.950
```

ρ ... 4.68 g/cm³
Formation energy without anion corrections ... 124 kJ/mol of atoms
Fermi-level density of states ... 4.668 states/eV per cell
Energy above the most stable polymorph in this dataset ... 40.4 kJ per mole of atoms

---

The following is a GGA-PBE calculation of a geometry-optimized TeOsRu2 structure, from Alexandria via LeMat-Bulk. Values from VASP.

Quantum ESPRESSO input file:
```
&SYSTEM
  ibrav = 0, nat = 4, ntyp = 3
/
ATOMIC_SPECIES
Ru 101.07 Ru.upf
Os 190.23 Os.upf
Te 127.60 Te.upf
ATOMIC_POSITIONS angstrom
Ru -2.354 -1.747 -1.571
Ru 0.000 0.000 0.000
Os -2.254 -1.134 1.119
Te -2.140 1.001 -1.428
CELL_PARAMETERS angstrom
-2.239 0.388 -4.117
-2.468 -3.883 0.976
-2.041 1.614 1.262
```

ρ ... 13.50 g/cm³
Formation energy without anion corrections ... 62 kJ/mol of atoms
Fermi-level density of states ... 6.077 states/eV per cell

---

The following is a GGA-PBE calculation of a geometry-optimized CeHoAgAu structure, from Alexandria via LeMat-Bulk. Values from VASP.

Quantum ESPRESSO input file:
```
&SYSTEM
  ibrav = 0, nat = 4, ntyp = 4
/
ATOMIC_SPECIES
Ce 140.12 Ce.upf
Ag 107.87 Ag.upf
Ho 164.93 Ho.upf
Au 196.97 Au.upf
ATOMIC_POSITIONS angstrom
Ce 1.793 1.793 0.856
Ag 0.000 0.000 6.339
Ho 1.793 1.793 4.560
Au 0.000 0.000 2.884
CELL_PARAMETERS angstrom
3.586 0.000 0.000
0.000 3.586 0.000
0.000 0.000 7.593
```

ρ ... 10.37 g/cm³
Formation enthalpy at 0 K ... -0.47 eV/atom
Fermi-level density of states ... 7.535 states/eV per cell
Energy above the most stable polymorph in this dataset ... 0.0 kJ per mole of atoms

---

The following is a GGA-PBE calculation of a geometry-optimized NaAcAuS structure, from Alexandria via LeMat-Bulk. Values from VASP.

Quantum ESPRESSO input file:
```
&SYSTEM
  ibrav = 0, nat = 4, ntyp = 4
/
ATOMIC_SPECIES
Ac 227.00 Ac.upf
Na 22.99 Na.upf
S 32.06 S.upf
Au 196.97 Au.upf
ATOMIC_POSITIONS angstrom
Ac 0.000 0.000 0.000
Na -1.410 -3.958 4.826
S -2.114 -5.938 7.239
Au -0.705 -1.979 2.413
CELL_PARAMETERS angstrom
-2.879 -0.607 4.318
-1.887 -4.711 1.241
1.947 -2.598 4.094
```

ρ ... 7.89 g/cm³
Formation energy without anion corrections ... -91 kJ/mol of atoms
Fermi-level density of states ... 4.300 states/eV per cell